#A
Density functional theory data (GGA-PBEsol) for crystalline Tl2TeOs at its relaxed geometry. Values from VASP.

```
&SYSTEM
  ibrav = 0, nat = 16, ntyp = 3
/
ATOMIC_SPECIES
Tl 204.38 Tl.upf
Te 127.60 Te.upf
Os 190.23 Os.upf
CELL_PARAMETERS angstrom
7.054 0.000 0.000
0.000 7.054 0.000
0.000 0.000 7.054
ATOMIC_POSITIONS crystal
Tl 0.250 0.250 0.250
Tl 0.250 0.250 0.750
Tl 0.250 0.750 0.250
Tl 0.250 0.750 0.750
Tl 0.750 0.250 0.250
Tl 0.750 0.250 0.750
Tl 0.750 0.750 0.250
Tl 0.750 0.750 0.750
Te 0.000 0.000 0.000
Te 0.000 0.500 0.500
Te 0.500 0.000 0.500
Te 0.500 0.500 0.000
Os 0.000 0.000 0.500
Os 0.000 0.500 0.000
Os 0.500 0.000 0.000
Os 0.500 0.500 0.500
```



#B
Density functional theory data (GGA-PBEsol) for crystalline Tl2TeOs at its relaxed geometry. Values from VASP.

```
&SYSTEM
  ibrav = 0, nat = 8, ntyp = 3
/
ATOMIC_SPECIES
Tl 204.38 Tl.upf
Te 127.60 Te.upf
Os 190.23 Os.upf
CELL_PARAMETERS angstrom
6.912 0.000 0.000
0.000 3.292 0.000
-1.014 0.000 8.772
ATOMIC_POSITIONS crystal
Tl 0.000 0.000 0.000
Tl 0.235 0.500 0.280
Tl 0.500 0.500 0.000
Tl 0.735 0.000 0.280
Te 0.061 0.500 0.617
Te 0.561 0.000 0.617
Os 0.280 0.000 0.780
Os 0.780 0.500 0.780
```



Pick #B: it beats the second-best structure by 65.2 kJ/mol of atoms.



#A
Density functional theory data (GGA-PBEsol) for crystalline Te2OsW at its relaxed geometry. Values from VASP.

```
&SYSTEM
  ibrav = 0, nat = 16, ntyp = 3
/
ATOMIC_SPECIES
Te 127.60 Te.upf
Os 190.23 Os.upf
W 183.84 W.upf
CELL_PARAMETERS angstrom
6.720 0.000 0.000
0.000 6.720 0.000
0.000 0.000 6.720
ATOMIC_POSITIONS crystal
Te 0.000 0.000 0.000
Te 0.000 0.500 0.500
Te 0.250 0.250 0.250
Te 0.250 0.750 0.750
Te 0.500 0.000 0.500
Te 0.500 0.500 0.000
Te 0.750 0.250 0.750
Te 0.750 0.750 0.250
Os 0.000 0.000 0.500
Os 0.000 0.500 0.000
Os 0.500 0.000 0.000
Os 0.500 0.500 0.500
W 0.250 0.250 0.750
W 0.250 0.750 0.250
W 0.750 0.250 0.250
W 0.750 0.750 0.750
```



#B
Density functional theory data (GGA-PBEsol) for crystalline Te2OsW at its relaxed geometry. Values from VASP.

```
&SYSTEM
  ibrav = 0, nat = 8, ntyp = 3
/
ATOMIC_SPECIES
Te 127.60 Te.upf
Os 190.23 Os.upf
W 183.84 W.upf
CELL_PARAMETERS angstrom
3.197 0.000 0.000
0.000 5.337 0.000
0.000 0.000 8.903
ATOMIC_POSITIONS crystal
Te 0.000 0.000 0.247
Te 0.000 0.000 0.753
Te 0.500 0.500 0.247
Te 0.500 0.500 0.753
Os 0.000 0.500 0.000
Os 0.500 0.000 0.000
W 0.000 0.500 0.500
W 0.500 0.000 0.500
```



Pick #A: it beats the second-best structure by 1.1 kJ/mol of atoms.



#A
Density functional theory data (GGA-PBEsol) for crystalline Te2OsW at its relaxed geometry. Values from VASP.

```
&SYSTEM
  ibrav = 0, nat = 8, ntyp = 3
/
ATOMIC_SPECIES
Te 127.60 Te.upf
Os 190.23 Os.upf
W 183.84 W.upf
CELL_PARAMETERS angstrom
4.216 0.000 0.000
0.000 4.216 0.000
0.000 0.000 8.315
ATOMIC_POSITIONS crystal
Te 0.000 0.000 0.000
Te 0.000 0.500 0.250
Te 0.500 0.000 0.750
Te 0.500 0.500 0.500
Os 0.000 0.500 0.750
Os 0.500 0.000 0.250
W 0.000 0.000 0.500
W 0.500 0.500 0.000
```



#B
Density functional theory data (GGA-PBEsol) for crystalline Te2OsW at its relaxed geometry. Values from VASP.

```
&SYSTEM
  ibrav = 0, nat = 4, ntyp = 3
/
ATOMIC_SPECIES
Te 127.60 Te.upf
Os 190.23 Os.upf
W 183.84 W.upf
CELL_PARAMETERS angstrom
2.976 0.000 0.000
0.000 3.842 0.000
0.000 0.000 7.447
ATOMIC_POSITIONS crystal
Te 0.000 0.000 0.000
Te 0.500 0.500 0.410
Os 0.500 0.500 0.789
W 0.000 0.000 0.631
```



Pick #B: it beats the second-best structure by 60.0 kJ/mol of atoms.



#A
Density functional theory data (GGA-PBEsol) for crystalline ZnTeOs2 at its relaxed geometry. Values from VASP.

```
&SYSTEM
  ibrav = 0, nat = 8, ntyp = 3
/
ATOMIC_SPECIES
Zn 65.41 Zn.upf
Te 127.60 Te.upf
Os 190.23 Os.upf
CELL_PARAMETERS angstrom
2.912 0.000 0.000
0.000 4.890 0.000
0.000 0.000 9.077
ATOMIC_POSITIONS crystal
Zn 0.000 0.000 0.000
Zn 0.500 0.500 0.000
Te 0.000 0.000 0.500
Te 0.500 0.500 0.500
Os 0.000 0.500 0.232
Os 0.000 0.500 0.768
Os 0.500 0.000 0.232
Os 0.500 0.000 0.768
```



#B
Density functional theory data (GGA-PBEsol) for crystalline ZnTeOs2 at its relaxed geometry. Values from VASP.

```
&SYSTEM
  ibrav = 0, nat = 8, ntyp = 3
/
ATOMIC_SPECIES
Zn 65.41 Zn.upf
Te 127.60 Te.upf
Os 190.23 Os.upf
CELL_PARAMETERS angstrom
8.481 0.000 0.000
0.000 3.005 0.000
-0.926 0.000 4.913
ATOMIC_POSITIONS crystal
Zn 0.000 0.000 0.000
Zn 0.500 0.500 0.000
Te 0.000 0.500 0.500
Te 0.500 0.000 0.500
Os 0.248 0.000 0.767
Os 0.252 0.500 0.233
Os 0.748 0.500 0.767
Os 0.752 0.000 0.233
```



Pick #B: it beats the second-best structure by 32.3 kJ/mol of atoms.



#A
Density functional theory data (GGA-PBEsol) for crystalline TlOs at its relaxed geometry. Values from VASP.

```
&SYSTEM
  ibrav = 0, nat = 4, ntyp = 2
/
ATOMIC_SPECIES
Tl 204.38 Tl.upf
Os 190.23 Os.upf
CELL_PARAMETERS angstrom
2.888 0.000 0.000
0.000 2.958 0.000
-1.448 0.000 8.785
ATOMIC_POSITIONS crystal
Tl 0.079 0.250 0.163
Tl 0.921 0.750 0.837
Os 0.295 0.250 0.589
Os 0.705 0.750 0.411
```



#B
Density functional theory data (GGA-PBEsol) for crystalline TlOs at its relaxed geometry. Values from VASP.

```
&SYSTEM
  ibrav = 0, nat = 8, ntyp = 2
/
ATOMIC_SPECIES
Tl 204.38 Tl.upf
Os 190.23 Os.upf
CELL_PARAMETERS angstrom
6.076 0.000 0.000
0.000 6.076 0.000
0.000 0.000 6.076
ATOMIC_POSITIONS crystal
Tl 0.000 0.000 0.000
Tl 0.000 0.500 0.500
Tl 0.500 0.000 0.500
Tl 0.500 0.500 0.000
Os 0.250 0.250 0.250
Os 0.250 0.750 0.750
Os 0.750 0.250 0.750
Os 0.750 0.750 0.250
```



#C
Density functional theory data (GGA-PBEsol) for crystalline TlOs at its relaxed geometry. Values from VASP.

```
&SYSTEM
  ibrav = 0, nat = 8, ntyp = 2
/
ATOMIC_SPECIES
Tl 204.38 Tl.upf
Os 190.23 Os.upf
CELL_PARAMETERS angstrom
4.614 0.000 0.000
0.000 4.615 0.000
0.000 0.000 6.527
ATOMIC_POSITIONS crystal
Tl 0.000 0.000 0.000
Tl 0.000 0.000 0.500
Tl 0.500 0.500 0.000
Tl 0.500 0.500 0.500
Os 0.000 0.499 0.250
Os 0.000 0.501 0.750
Os 0.500 0.001 0.750
Os 0.500 0.999 0.250
```



Pick #A: it beats the second-best structure by 63.4 kJ/mol of atoms.



#A
Density functional theory data (GGA-PBEsol) for crystalline TlOs at its relaxed geometry. Values from VASP.

```
&SYSTEM
  ibrav = 0, nat = 4, ntyp = 2
/
ATOMIC_SPECIES
Tl 204.38 Tl.upf
Os 190.23 Os.upf
CELL_PARAMETERS angstrom
3.030 0.000 0.000
-1.515 2.624 0.000
0.000 0.000 8.838
ATOMIC_POSITIONS crystal
Tl 0.000 0.000 0.000
Tl 0.000 0.000 0.500
Os 0.333 0.667 0.250
Os 0.667 0.333 0.750
```



#B
Density functional theory data (GGA-PBEsol) for crystalline TlOs at its relaxed geometry. Values from VASP.

```
&SYSTEM
  ibrav = 0, nat = 12, ntyp = 2
/
ATOMIC_SPECIES
Tl 204.38 Tl.upf
Os 190.23 Os.upf
CELL_PARAMETERS angstrom
4.027 0.000 0.000
-2.014 3.488 0.000
0.000 0.000 19.462
ATOMIC_POSITIONS crystal
Tl 0.000 0.000 0.109
Tl 0.000 0.000 0.891
Tl 0.333 0.667 0.558
Tl 0.333 0.667 0.775
Tl 0.667 0.333 0.225
Tl 0.667 0.333 0.442
Os 0.000 0.000 0.347
Os 0.000 0.000 0.653
Os 0.333 0.667 0.014
Os 0.333 0.667 0.320
Os 0.667 0.333 0.680
Os 0.667 0.333 0.986
```



Pick #B: it beats the second-best structure by 32.5 kJ/mol of atoms.



#A
Density functional theory data (GGA-PBEsol) for crystalline TlOs2W at its relaxed geometry. Values from VASP.

```
&SYSTEM
  ibrav = 0, nat = 8, ntyp = 3
/
ATOMIC_SPECIES
Tl 204.38 Tl.upf
Os 190.23 Os.upf
W 183.84 W.upf
CELL_PARAMETERS angstrom
2.868 0.000 0.000
0.000 4.845 0.000
0.000 0.000 9.467
ATOMIC_POSITIONS crystal
Tl 0.000 0.000 0.000
Tl 0.500 0.500 0.000
Os 0.000 0.000 0.506
Os 0.000 0.500 0.740
Os 0.500 0.000 0.740
Os 0.500 0.500 0.506
W 0.000 0.500 0.274
W 0.500 0.000 0.274
```



#B
Density functional theory data (GGA-PBEsol) for crystalline TlOs2W at its relaxed geometry. Values from VASP.

```
&SYSTEM
  ibrav = 0, nat = 8, ntyp = 3
/
ATOMIC_SPECIES
Tl 204.38 Tl.upf
Os 190.23 Os.upf
W 183.84 W.upf
CELL_PARAMETERS angstrom
2.953 0.000 0.000
0.000 4.769 0.000
0.000 0.000 9.449
ATOMIC_POSITIONS crystal
Tl 0.000 0.000 0.000
Tl 0.500 0.500 0.000
Os 0.000 0.500 0.273
Os 0.000 0.500 0.727
Os 0.500 0.000 0.273
Os 0.500 0.000 0.727
W 0.000 0.000 0.500
W 0.500 0.500 0.500
```



Pick #B: it beats the second-best structure by 15.2 kJ/mol of atoms.



#A
Density functional theory data (GGA-PBEsol) for crystalline Tl2OsW at its relaxed geometry. Values from VASP.

```
&SYSTEM
  ibrav = 0, nat = 4, ntyp = 3
/
ATOMIC_SPECIES
Tl 204.38 Tl.upf
Os 190.23 Os.upf
W 183.84 W.upf
CELL_PARAMETERS angstrom
3.016 0.000 0.000
0.000 3.027 0.000
-1.505 0.000 8.713
ATOMIC_POSITIONS crystal
Tl 0.000 0.000 0.000
Tl 0.169 0.500 0.330
Os 0.377 0.500 0.749
W 0.796 0.000 0.585
```



#B
Density functional theory data (GGA-PBEsol) for crystalline Tl2OsW at its relaxed geometry. Values from VASP.

```
&SYSTEM
  ibrav = 0, nat = 4, ntyp = 3
/
ATOMIC_SPECIES
Tl 204.38 Tl.upf
Os 190.23 Os.upf
W 183.84 W.upf
CELL_PARAMETERS angstrom
3.028 0.000 0.000
0.000 3.028 0.000
0.000 0.000 8.831
ATOMIC_POSITIONS crystal
Tl 0.000 0.000 0.000
Tl 0.500 0.500 0.331
Os 0.500 0.500 0.745
W 0.000 0.000 0.587
```



#C
Density functional theory data (GGA-PBEsol) for crystalline Tl2OsW at its relaxed geometry. Values from VASP.

```
&SYSTEM
  ibrav = 0, nat = 8, ntyp = 3
/
ATOMIC_SPECIES
Tl 204.38 Tl.upf
Os 190.23 Os.upf
W 183.84 W.upf
CELL_PARAMETERS angstrom
5.873 0.000 0.000
0.000 9.520 0.000
-1.449 0.000 2.622
ATOMIC_POSITIONS crystal
Tl 0.250 0.250 0.000
Tl 0.250 0.750 0.000
Tl 0.750 0.250 0.000
Tl 0.750 0.750 0.000
Os 0.000 0.000 0.500
Os 0.500 0.500 0.500
W 0.000 0.500 0.500
W 0.500 0.000 0.500
```



#D
Density functional theory data (GGA-PBEsol) for crystalline Tl2OsW at its relaxed geometry. Values from VASP.

```
&SYSTEM
  ibrav = 0, nat = 8, ntyp = 3
/
ATOMIC_SPECIES
Tl 204.38 Tl.upf
Os 190.23 Os.upf
W 183.84 W.upf
CELL_PARAMETERS angstrom
4.144 0.000 0.000
0.000 4.144 0.000
0.000 0.000 8.403
ATOMIC_POSITIONS crystal
Tl 0.000 0.000 0.000
Tl 0.000 0.500 0.250
Tl 0.500 0.000 0.750
Tl 0.500 0.500 0.500
Os 0.000 0.500 0.750
Os 0.500 0.000 0.250
W 0.000 0.000 0.500
W 0.500 0.500 0.000
```



Pick #A: it beats the second-best structure by 3.4 kJ/mol of atoms.



#A
Density functional theory data (GGA-PBEsol) for crystalline YTlOs2 at its relaxed geometry. Values from VASP.

```
&SYSTEM
  ibrav = 0, nat = 4, ntyp = 3
/
ATOMIC_SPECIES
Y 88.91 Y.upf
Tl 204.38 Tl.upf
Os 190.23 Os.upf
CELL_PARAMETERS angstrom
3.133 0.000 0.000
0.000 4.544 0.000
-0.428 0.000 5.631
ATOMIC_POSITIONS crystal
Y 0.000 0.000 0.000
Tl 0.500 0.000 0.500
Os 0.451 0.500 0.794
Os 0.549 0.500 0.206
```



#B
Density functional theory data (GGA-PBEsol) for crystalline YTlOs2 at its relaxed geometry. Values from VASP.

```
&SYSTEM
  ibrav = 0, nat = 4, ntyp = 3
/
ATOMIC_SPECIES
Y 88.91 Y.upf
Tl 204.38 Tl.upf
Os 190.23 Os.upf
CELL_PARAMETERS angstrom
3.416 0.000 0.000
0.000 3.416 0.000
0.000 0.000 6.285
ATOMIC_POSITIONS crystal
Y 0.000 0.000 0.000
Tl 0.000 0.000 0.500
Os 0.500 0.500 0.268
Os 0.500 0.500 0.732
```



Pick #A: it beats the second-best structure by 8.2 kJ/mol of atoms.



#A
Density functional theory data (GGA-PBEsol) for crystalline YTlOs2 at its relaxed geometry. Values from VASP.

```
&SYSTEM
  ibrav = 0, nat = 8, ntyp = 3
/
ATOMIC_SPECIES
Y 88.91 Y.upf
Tl 204.38 Tl.upf
Os 190.23 Os.upf
CELL_PARAMETERS angstrom
3.230 0.000 0.000
0.000 4.922 0.000
0.000 0.000 9.177
ATOMIC_POSITIONS crystal
Y 0.000 0.000 0.000
Y 0.500 0.500 0.500
Tl 0.000 0.000 0.500
Tl 0.500 0.500 0.000
Os 0.000 0.500 0.248
Os 0.000 0.500 0.752
Os 0.500 0.000 0.252
Os 0.500 0.000 0.748
```



#B
Density functional theory data (GGA-PBEsol) for crystalline YTlOs2 at its relaxed geometry. Values from VASP.

```
&SYSTEM
  ibrav = 0, nat = 4, ntyp = 3
/
ATOMIC_SPECIES
Y 88.91 Y.upf
Tl 204.38 Tl.upf
Os 190.23 Os.upf
CELL_PARAMETERS angstrom
3.332 0.000 0.000
0.000 4.436 0.000
0.000 0.000 4.900
ATOMIC_POSITIONS crystal
Y 0.000 0.000 0.000
Tl 0.500 0.000 0.500
Os 0.000 0.500 0.500
Os 0.500 0.500 0.000
```



#C
Density functional theory data (GGA-PBEsol) for crystalline YTlOs2 at its relaxed geometry. Values from VASP.

```
&SYSTEM
  ibrav = 0, nat = 8, ntyp = 3
/
ATOMIC_SPECIES
Y 88.91 Y.upf
Tl 204.38 Tl.upf
Os 190.23 Os.upf
CELL_PARAMETERS angstrom
10.574 0.000 0.000
0.000 3.026 0.000
-1.904 0.000 4.612
ATOMIC_POSITIONS crystal
Y 0.000 0.000 0.000
Y 0.500 0.500 0.000
Tl 0.289 0.500 0.371
Tl 0.789 0.000 0.371
Os 0.039 0.500 0.513
Os 0.235 0.000 0.848
Os 0.539 0.000 0.513
Os 0.735 0.500 0.848
```



Pick #C: it beats the second-best structure by 25.2 kJ/mol of atoms.



#A
Density functional theory data (GGA-PBEsol) for crystalline ZrTlOs2 at its relaxed geometry. Values from VASP.

```
&SYSTEM
  ibrav = 0, nat = 4, ntyp = 3
/
ATOMIC_SPECIES
Zr 91.22 Zr.upf
Tl 204.38 Tl.upf
Os 190.23 Os.upf
CELL_PARAMETERS angstrom
2.895 0.000 0.000
0.000 2.895 0.000
0.000 0.000 8.349
ATOMIC_POSITIONS crystal
Zr 0.000 0.000 0.000
Tl 0.500 0.500 0.707
Os 0.000 0.000 0.450
Os 0.500 0.500 0.259
```



#B
Density functional theory data (GGA-PBEsol) for crystalline ZrTlOs2 at its relaxed geometry. Values from VASP.

```
&SYSTEM
  ibrav = 0, nat = 8, ntyp = 3
/
ATOMIC_SPECIES
Zr 91.22 Zr.upf
Tl 204.38 Tl.upf
Os 190.23 Os.upf
CELL_PARAMETERS angstrom
3.207 0.000 0.000
0.000 4.837 0.000
0.000 0.000 8.949
ATOMIC_POSITIONS crystal
Zr 0.000 0.000 0.000
Zr 0.500 0.500 0.500
Tl 0.000 0.000 0.500
Tl 0.500 0.500 0.000
Os 0.000 0.500 0.259
Os 0.000 0.500 0.741
Os 0.500 0.000 0.241
Os 0.500 0.000 0.759
```



Pick #A: it beats the second-best structure by 25.3 kJ/mol of atoms.



#A
Density functional theory data (GGA-PBEsol) for crystalline YOsW2 at its relaxed geometry. Values from VASP.

```
&SYSTEM
  ibrav = 0, nat = 8, ntyp = 3
/
ATOMIC_SPECIES
Y 88.91 Y.upf
Os 190.23 Os.upf
W 183.84 W.upf
CELL_PARAMETERS angstrom
3.844 0.000 0.000
0.000 3.844 0.000
0.000 0.000 9.448
ATOMIC_POSITIONS crystal
Y 0.000 0.000 0.000
Y 0.500 0.500 0.500
Os 0.000 0.000 0.500
Os 0.500 0.500 0.000
W 0.000 0.500 0.250
W 0.000 0.500 0.750
W 0.500 0.000 0.250
W 0.500 0.000 0.750
```



#B
Density functional theory data (GGA-PBEsol) for crystalline YOsW2 at its relaxed geometry. Values from VASP.

```
&SYSTEM
  ibrav = 0, nat = 4, ntyp = 3
/
ATOMIC_SPECIES
Y 88.91 Y.upf
Os 190.23 Os.upf
W 183.84 W.upf
CELL_PARAMETERS angstrom
3.176 0.000 0.000
0.000 3.176 0.000
0.000 0.000 6.939
ATOMIC_POSITIONS crystal
Y 0.000 0.000 0.000
Os 0.500 0.500 0.282
W 0.000 0.000 0.496
W 0.500 0.500 0.711
```



Pick #B: it beats the second-best structure by 30.0 kJ/mol of atoms.